(1)
! LiBeGaPd, relaxed, DFT PBE; values from VASP
! Formation enthalpy at 0 K: -0.387 eV/atom
! E: -3.851 eV/atom
! D(E_F): 1.6 states/eV/f.u.
! Spin magnetization: 0.00 μB/atom
&SYSTEM
  ibrav = 0, nat = 4, ntyp = 4
/
ATOMIC_SPECIES
Li 6.94 Li.upf
Be 9.01 Be.upf
Ga 69.72 Ga.upf
Pd 106.42 Pd.upf
CELL_PARAMETERS angstrom
0.000 2.946 2.946
2.946 0.000 2.946
2.946 2.946 0.000
ATOMIC_POSITIONS crystal
Li 0.000 0.000 0.000
Be 0.250 0.250 0.250
Ga 0.750 0.750 0.750
Pd 0.500 0.500 0.500

***

(2)
! Ce3NdPu2Te6, relaxed, DFT PBE; values from VASP
! Raw formation energy: -1.287 eV/atom
! E: -7.127 eV/atom
! D(E_F): 41.3 states/eV/f.u.
! Spin magnetization: 0.72 μB/atom
&SYSTEM
  ibrav = 0, nat = 12, ntyp = 4
/
ATOMIC_SPECIES
Ce 140.12 Ce.upf
Nd 144.24 Nd.upf
Pu 244.00 Pu.upf
Te 127.60 Te.upf
CELL_PARAMETERS angstrom
3.849 -6.667 0.000
3.849 6.667 0.000
-2.565 0.000 7.397
ATOMIC_POSITIONS crystal
Ce 0.000 0.000 0.000
Ce 0.335 0.665 0.000
Ce 0.665 0.335 0.000
Nd 0.500 0.500 0.500
Pu 0.167 0.833 0.500
Pu 0.833 0.167 0.500
Te 0.081 0.418 0.253
Te 0.244 0.244 0.745
Te 0.418 0.081 0.253
Te 0.582 0.919 0.747
Te 0.756 0.756 0.255
Te 0.919 0.582 0.747

***

(3)
! Ba2AlTlH, relaxed, DFT PBE; values from VASP
! E: -2.876 eV/atom
! D(E_F): 3.3 states/eV/f.u.
! Spin magnetization: 0.00 μB/atom
&SYSTEM
  ibrav = 0, nat = 5, ntyp = 4
/
ATOMIC_SPECIES
Ba 137.33 Ba.upf
Al 26.98 Al.upf
Tl 204.38 Tl.upf
H 1.01 H.upf
CELL_PARAMETERS angstrom
5.838 0.000 0.000
0.000 5.838 0.000
0.000 0.000 4.333
ATOMIC_POSITIONS crystal
Ba 0.000 0.500 0.000
Ba 0.500 0.000 0.000
Al 0.000 0.000 0.500
Tl 0.500 0.500 0.500
H 0.000 0.000 0.000

***

(4)
! Ga2BAu, relaxed, DFT PBE; values from VASP
! Formation enthalpy at 0 K: 0.294 eV/atom
! E: -3.708 eV/atom
! D(E_F): 0.1 states/eV/f.u.
! Spin magnetization: 0.00 μB/atom
&SYSTEM
  ibrav = 0, nat = 8, ntyp = 3
/
ATOMIC_SPECIES
Ga 69.72 Ga.upf
B 10.81 B.upf
Au 196.97 Au.upf
CELL_PARAMETERS angstrom
-2.684 2.684 5.364
2.684 -2.684 5.364
2.684 2.684 -5.364
ATOMIC_POSITIONS crystal
Ga 0.027 0.625 0.902
Ga 0.375 0.277 0.402
Ga 0.723 0.125 0.098
Ga 0.875 0.973 0.598
B 0.000 0.000 0.000
B 0.750 0.250 0.500
Au 0.250 0.750 0.500
Au 0.500 0.500 0.000

***

(5)
! CoAsP2, relaxed, DFT PBE; values from VASP
! Formation enthalpy at 0 K: 0.156 eV/atom
! E: -5.488 eV/atom
! D(E_F): 3.2 states/eV/f.u.
! Spin magnetization: 0.11 μB/atom
&SYSTEM
  ibrav = 0, nat = 4, ntyp = 3
/
ATOMIC_SPECIES
Co 58.93 Co.upf
As 74.92 As.upf
P 30.97 P.upf
CELL_PARAMETERS angstrom
1.467 0.847 7.874
-1.467 0.847 7.874
0.000 -1.694 7.874
ATOMIC_POSITIONS crystal
Co 0.000 0.000 0.000
As 0.500 0.500 0.500
P 0.268 0.268 0.268
P 0.732 0.732 0.732

***

(6)
! KSnPO5, relaxed, DFT PBE; values from VASP
! Raw formation energy: -2.071 eV/atom
! E: -6.484 eV/atom
! D(E_F): 0.0 states/eV/f.u.
! Spin magnetization: 0.00 μB/atom
! Excess energy over the best structure of this formula in the dataset: 0 meV/atom
&SYSTEM
  ibrav = 0, nat = 64, ntyp = 4
/
ATOMIC_SPECIES
K 39.10 K.upf
Sn 118.71 Sn.upf
P 30.97 P.upf
O 16.00 O.upf
CELL_PARAMETERS angstrom
13.378 0.000 0.000
0.000 6.641 0.000
0.000 0.000 10.899
ATOMIC_POSITIONS crystal
K 0.109 0.195 0.000
K 0.126 0.775 0.259
K 0.374 0.275 0.759
K 0.391 0.695 0.500
K 0.609 0.305 0.000
K 0.626 0.725 0.259
K 0.874 0.225 0.759
K 0.891 0.805 0.500
Sn 0.128 0.497 0.558
Sn 0.249 0.755 0.807
Sn 0.251 0.255 0.307
Sn 0.372 0.997 0.058
Sn 0.628 0.003 0.558
Sn 0.749 0.745 0.807
Sn 0.751 0.245 0.307
Sn 0.872 0.503 0.058
P 0.001 0.656 0.808
P 0.176 0.001 0.555
P 0.324 0.501 0.055
P 0.499 0.156 0.308
P 0.501 0.844 0.808
P 0.676 0.499 0.555
P 0.824 0.999 0.055
P 0.999 0.344 0.308
O 0.014 0.490 0.419
O 0.015 0.518 0.692
O 0.091 0.208 0.285
O 0.092 0.795 0.831
O 0.106 0.817 0.534
O 0.107 0.185 0.578
O 0.229 0.486 0.420
O 0.238 0.535 0.681
O 0.244 0.027 0.440
O 0.249 0.970 0.663
O 0.251 0.470 0.163
O 0.256 0.527 0.940
O 0.262 0.035 0.181
O 0.271 0.986 0.920
O 0.393 0.685 0.078
O 0.394 0.317 0.034
O 0.408 0.295 0.331
O 0.409 0.708 0.785
O 0.485 0.018 0.192
O 0.486 0.990 0.919
O 0.514 0.010 0.419
O 0.515 0.982 0.692
O 0.591 0.292 0.285
O 0.592 0.705 0.831
O 0.606 0.683 0.534
O 0.607 0.315 0.578
O 0.729 0.014 0.420
O 0.738 0.965 0.681
O 0.744 0.473 0.440
O 0.749 0.530 0.663
O 0.751 0.030 0.163
O 0.756 0.973 0.940
O 0.762 0.465 0.181
O 0.771 0.514 0.920
O 0.893 0.815 0.078
O 0.894 0.183 0.034
O 0.908 0.205 0.331
O 0.909 0.792 0.785
O 0.985 0.482 0.192
O 0.986 0.510 0.919

***

(7)
! P2PtSeCl, relaxed, DFT PBE; values from VASP
! Raw formation energy: 1.255 eV/atom
! E: -3.184 eV/atom
! D(E_F): 5.1 states/eV/f.u.
! Spin magnetization: 0.00 μB/atom
! Excess energy over the best structure of this formula in the dataset: 653 meV/atom
&SYSTEM
  ibrav = 0, nat = 5, ntyp = 4
/
ATOMIC_SPECIES
P 30.97 P.upf
Pt 195.08 Pt.upf
Se 78.96 Se.upf
Cl 35.45 Cl.upf
CELL_PARAMETERS angstrom
4.848 0.000 0.000
0.000 4.848 0.000
0.000 0.000 4.569
ATOMIC_POSITIONS crystal
P 0.000 0.500 0.000
P 0.500 0.000 0.000
Pt 0.000 0.000 0.500
Se 0.500 0.500 0.000
Cl 0.500 0.500 0.500

***

(8)
! Cu3MoS, relaxed, DFT PBE; values from VASP
! Raw formation energy: 0.876 eV/atom
! E: -4.573 eV/atom
! D(E_F): 2.4 states/eV/f.u.
! Spin magnetization: 0.57 μB/atom
! Excess energy over the best structure of this formula in the dataset: 0 meV/atom
&SYSTEM
  ibrav = 0, nat = 5, ntyp = 3
/
ATOMIC_SPECIES
Cu 63.55 Cu.upf
Mo 95.94 Mo.upf
S 32.06 S.upf
CELL_PARAMETERS angstrom
4.295 0.000 0.000
0.000 4.295 0.000
0.000 0.000 4.295
ATOMIC_POSITIONS crystal
Cu 0.000 0.000 0.500
Cu 0.000 0.500 0.000
Cu 0.500 0.000 0.000
Mo 0.500 0.500 0.500
S 0.000 0.000 0.000

***

Which formula does entry 7 have? P2PtSeCl

***

Which value of E does entry 4 give? -3.708 eV/atom